[1]
# Ba5YTe6

A relaxed Ba5YTe6 crystal (GGA-PBE, the Alexandria database).

Cell and atoms, written as CIF:
```
data_Ba5YTe6
_cell_length_a 8.466
_cell_length_b 14.643
_cell_length_c 8.449
_cell_angle_alpha 90.00
_cell_angle_beta 109.60
_cell_angle_gamma 90.00
_space_group_name_H-M_alt 'C 1 2/m 1'
_space_group_IT_number 12
loop_
_space_group_symop_operation_xyz
'x,y,z'
'-x,-y,-z'
'-x,y,-z'
'x,-y,z'
'x+1/2,y+1/2,z'
'-x+1/2,-y+1/2,-z'
'-x+1/2,y+1/2,-z'
'x+1/2,-y+1/2,z'
loop_
_atom_site_label
_atom_site_type_symbol
_atom_site_fract_x
_atom_site_fract_y
_atom_site_fract_z
_atom_site_occupancy
Ba1 Ba 0.000 0.000 0.000 1
Ba2 Ba 0.000 0.165 0.500 1
Ba3 Ba 0.000 0.327 0.000 1
Y1 Y 0.000 0.500 0.500 1
Te1 Te 0.227 0.500 0.262 1
Te2 Te 0.232 0.345 0.733 1
```

Computed properties:
DOS at the Fermi energy: 6.3 states/eV/cell
Energy relative to the elements, uncorrected: -162.36 kJ/mol of atoms
DFT total energy: -4.59 eV/atom



[2]
# Pm8Sn6Hg

A relaxed Pm8Sn6Hg crystal (GGA-PBE, the Alexandria database).

Cell and atoms, written as CIF:
```
data_Pm8Sn6Hg
_cell_length_a 9.4122
_cell_length_b 9.4122
_cell_length_c 19.2226
_cell_angle_alpha 90.00
_cell_angle_beta 90.00
_cell_angle_gamma 120.00
_space_group_name_H-M_alt 'R -3'
_space_group_IT_number 148
_space_group_name_Hall '-R 3'
loop_
_atom_site_label
_atom_site_type_symbol
_atom_site_fract_x
_atom_site_fract_y
_atom_site_fract_z
_atom_site_occupancy
Pm1 Pm 0.0000 0.0000 0.1674 1
Pm2 Pm 0.0069 0.7197 0.5960 1
Sn1 Sn 0.0041 0.6326 0.4270 1
Hg1 Hg 0.0000 0.0000 0.5000 1
```

Computed properties:
Formation enthalpy at 0 K: -0.599 eV/atom
DOS at the Fermi energy: 17.7 states/eV/cell
DFT total energy: -4.75 eV/atom